Entry 1:
Density functional theory data (GGA-PBEsol) for Mg2IrAu after structural relaxation.

Geometry as extended XYZ:
```
4
Lattice="3.146 0.000 0.000 0.000 4.491 0.010 0.000 -0.569 4.455" Properties=species:S:1:pos:R:3 pbc="T T T"
Au 1.573 0.000 0.000
Ir 1.573 1.961 2.233
Mg 0.000 -0.285 2.227
Mg 0.000 2.245 0.005
```

Results
Calculated total energy in eV per atom: -4.726
DOS(E_F) in states/eV/atom: 0.2316

Entry 2:
Density functional theory data (GGA-PBEsol) for Zr6Ga16Ru7 after structural relaxation.

Geometry as extended XYZ:
```
29
Lattice="-2.386 -5.868 -5.902 5.641 -2.626 -6.019 3.243 -8.021 0.313" Properties=species:S:1:pos:R:3 pbc="T T T"
Zr 5.693 -9.294 -5.761
Zr 4.287 -5.816 -5.897
Zr 3.252 -8.360 -8.456
Ru 4.442 -5.324 -2.853
Zr 0.806 -7.221 -5.846
Ru 1.622 -4.011 0.157
Ga 5.697 -14.477 -10.175
Ga 5.746 -7.324 -7.742
Ru 0.429 -6.944 -2.794
Ga 4.055 -10.416 -10.334
Zr 2.212 -10.699 -5.710
Ru 1.628 -4.247 -5.961
Ga 5.743 -7.177 -3.939
Ga 0.753 -9.192 -3.866
Ga 2.444 -6.099 -1.274
Ga 2.239 -5.691 -4.000
Zr 3.247 -8.155 -3.151
Ga 4.260 -10.824 -7.608
Ga 6.905 -11.506 -7.187
Ga 0.756 -9.339 -7.669
Ga -0.406 -5.009 -4.421
Ga 2.243 -5.838 -7.803
Ga 4.256 -10.677 -3.805
Ga 3.658 -3.368 -4.480
Ru 0.000 0.000 0.000
Ru -1.193 -2.934 -2.951
Ga 0.802 -2.038 -1.433
Ga 2.841 -13.147 -7.127
Ru 2.821 -1.313 -3.010
```

Results
Calculated total energy in eV per atom: -6.687
DOS(E_F) in states/eV/atom: 0.3788

Among the records above, which one has the highest calculated total energy?
Mg2IrAu

Which of these has the lowest calculated total energy?
Zr6Ga16Ru7

Number 1 is which compound?
Mg2IrAu

Look up the calculated total energy of the second one.
-6.687 eV per atom